Record 1
Density functional theory data (PBE) for a relaxed Zn2TcPt crystal.

Summary:
- Volume: 232 Å³/cell
- ΔH_f (0 K): -0.05 eV per atom
- Spin magnetization: 1.65 μB/f.u.
- Polymorph energy (0 for the lowest one): 33.8 kJ/mol of formula units

a b c (Å): 6.1442 6.1442 6.1442
angles (deg): 90.00 90.00 90.00
Closest atoms and distances in Å follow each position.
Space group Fm-3m (No. 225)
Symmetry-distinct sites (fractional):
Zn  0.2500  0.2500  0.2500 (multiplicity 8)  4 Tc 2.66, 4 Pt 2.66
Tc  0.0000  0.0000  0.0000 (multiplicity 4)  8 Zn 2.66
Pt  0.0000  0.0000  0.5000 (multiplicity 4)  8 Zn 2.66

Record 2
Density functional theory data (PBE) for a relaxed ErBeC crystal.

Summary:
- Volume: 36 Å³/cell
- ΔH_f (0 K): -0.31 eV per atom
- Spin magnetization: 0.00 μB/f.u.
- Polymorph energy (0 for the lowest one): 0.0 kJ/mol of formula units

a b c (Å): 3.3349 3.3349 3.7323
angles (deg): 90.00 90.00 120.00
Closest atoms and distances in Å follow each position.
Space group P-6m2 (No. 187)
Symmetry-distinct sites (fractional):
Er  0.0000  0.0000  0.0000 (multiplicity 1)  6 Be 2.68, 6 C 2.68
Be  0.3333  0.6667  0.5000 (multiplicity 1)  3 C 1.93
C  0.6667  0.3333  0.5000 (multiplicity 1)  3 Be 1.93

Record 3
Density functional theory data (PBE) for a relaxed MgAu4 crystal.

Summary:
- Volume: 365 Å³/cell
- ΔH_f (0 K): -0.29 eV per atom
- Spin magnetization: 0.00 μB/f.u.

a b c (Å): 4.2985 5.7411 14.8038
angles (deg): 90.00 90.00 90.00
Closest atoms and distances in Å follow each position.
Space group Imma (No. 74)
Symmetry-distinct sites (fractional):
Mg  0.0000  0.2500  0.1082 (multiplicity 4)  11 Au 2.86-3.04
Au  0.0000  0.0000  0.5000 (multiplicity 4)  8 Au 2.82-2.94, 4 Mg 3.04
Au  0.0000  0.0012  0.6904 (multiplicity 8)  7 Au 2.78-2.95, 2 Mg 2.86
Au  0.0000  0.2500  0.9056 (multiplicity 4)  3 Mg 2.88-3.00, 8 Au 2.94-2.95

Record 4
Density functional theory data (PBE) for a relaxed CaScZnRh crystal.

Summary:
- Volume: 314 Å³/cell
- ΔH_f (0 K): -0.41 eV per atom
- Spin magnetization: 0.00 μB/f.u.

a b c (Å): 6.7935 6.7935 6.7935
angles (deg): 90.00 90.00 90.00
Closest atoms and distances in Å follow each position.
Space group F-43m (No. 216)
Symmetry-distinct sites (fractional):
Ca  0.0000  0.0000  0.0000 (multiplicity 4)  4 Rh 2.94, 4 Zn 2.94
Sc  0.0000  0.0000  0.5000 (multiplicity 4)  4 Rh 2.94, 4 Zn 2.94
Zn  0.2500  0.2500  0.7500 (multiplicity 4)  4 Ca 2.94, 4 Sc 2.94
Rh  0.2500  0.2500  0.2500 (multiplicity 4)  4 Sc 2.94, 4 Ca 2.94

Record 5
Density functional theory data (PBE) for a relaxed AcTi4S8 crystal.

Summary:
- Uncorrected formation energy: -1.35 eV/atom
- Volume: 1182 Å³/cell
- Spin magnetization: 2.91 μB/f.u.
- Polymorph energy (0 for the lowest one): 229.7 kJ/mol of formula units

a b c (Å): 10.5744 10.5744 10.5744
angles (deg): 90.00 90.00 90.00
Closest atoms and distances in Å follow each position.
Space group F-43m (No. 216)
Symmetry-distinct sites (fractional):
Ac  0.0000  0.0000  0.0000 (multiplicity 4)  4 S 2.73
Ti  0.1118  0.1118  0.6118 (multiplicity 16)  6 S 2.43-2.59
S  0.1182  0.1182  0.3818 (multiplicity 16)  3 Ti 2.43
S  0.1489  0.1489  0.8511 (multiplicity 16)  3 Ti 2.59, 1 Ac 2.73

Record 6
Density functional theory data (PBE) for a relaxed Pa2FeB2 crystal.

Summary:
- Volume: 297 Å³/cell
- ΔH_f (0 K): -0.34 eV per atom
- Spin magnetization: 0.00 μB/f.u.

a b c (Å): 9.5448 3.7379 9.3932
angles (deg): 90.00 117.77 90.00
Closest atoms and distances in Å follow each position.
Space group C2/m (No. 12)
Symmetry-distinct sites (fractional):
Pa  0.1176  0.0000  0.4014 (multiplicity 4)  2 Fe 2.66, 6 B 2.70-2.81
Pa  0.2164  0.5000  0.1449 (multiplicity 4)  7 B 2.76-2.93, 4 Fe 2.78
Fe  0.0517  0.5000  0.8107 (multiplicity 4)  3 B 2.18-2.22
B  0.0253  0.0000  0.9232 (multiplicity 4)  1 B 1.72
B  0.0880  0.5000  0.5980 (multiplicity 4)  1 B 1.82

volume of number 1 (Zn2TcPt)? 232 Å³/cell